# PBE+U InW2F, optimized geometry
data_InW2F
_chemical_formula_sum 'In4 W8 F4'
_space_group_name_H-M_alt 'I -4 2 d'
_space_group_IT_number 122
_space_group_name_Hall 'I -4 2bw'
_cell_length_a 3.8098
_cell_length_b 3.8098
_cell_length_c 21.1128
_cell_angle_alpha 90.00
_cell_angle_beta 90.00
_cell_angle_gamma 90.00
loop_
_atom_site_label
_atom_site_type_symbol
_atom_site_fract_x
_atom_site_fract_y
_atom_site_fract_z
In1 In 0.0000 0.0000 0.0000
W1 W 0.2400 0.2500 0.1250
F1 F 0.0000 0.0000 0.5000
# **Crystal system**: tetragonal
# **Distance to the lowest polymorph of the same formula**: 0 meV/atom